Below is a geometry-optimized K2PdSe10 structure, with properties calculated at the GGA-PBE level.

Geometry as POSCAR:
```
K2PdSe10
1.0
0.0000 0.0000 -12.5628
8.1485 8.1506 6.2814
8.1485 -8.1506 -6.2814
Se K Pd
40 8 4
Direct
0.4940 0.1995 0.0784
0.3898 0.5563 0.9665
0.9931 0.0507 0.8314
0.7328 0.5909 0.3937
0.1755 0.1687 0.5507
0.2262 0.6686 0.4493
0.4644 0.1063 0.9091
0.6271 0.4216 0.3005
0.7056 0.5784 0.8004
0.0724 0.6996 0.9216
0.4733 0.8298 0.8036
0.2738 0.4493 0.6686
0.3338 0.4440 0.4665
0.7944 0.8004 0.5784
0.5529 0.6964 0.6702
0.2000 0.5335 0.9437
0.6437 0.0335 0.0560
0.4425 0.9493 0.3313
0.4276 0.9216 0.6996
0.3566 0.3037 0.1706
0.6418 0.4091 0.8935
0.3000 0.9437 0.5335
0.6262 0.0909 0.6065
0.8738 0.6065 0.0909
0.7672 0.3937 0.5909
0.0356 0.9091 0.1063
0.3245 0.5507 0.1687
0.8582 0.8935 0.4091
0.1662 0.4665 0.4440
0.9471 0.6702 0.6964
0.8729 0.3005 0.4216
0.8563 0.0560 0.0335
0.0060 0.0784 0.1995
0.5069 0.8314 0.0507
0.0575 0.3313 0.9493
0.0267 0.8036 0.8298
0.7235 0.1963 0.3294
0.1102 0.9665 0.5563
0.7765 0.3294 0.1963
0.1434 0.1706 0.3037
0.2721 0.2430 0.9473
0.9709 0.4474 0.7583
0.7182 0.7417 0.0526
0.2279 0.9473 0.2430
0.4764 0.2570 0.5527
0.0236 0.5527 0.2570
0.5291 0.7583 0.4474
0.7818 0.0526 0.7417
0.6247 0.2500 0.7500
0.1248 0.2500 0.7500
0.8753 0.7500 0.2500
0.3752 0.7500 0.2500
```

## Properties
Total energy = -3.655 eV/atom
Theoretical density = 3.878 g cm⁻³



Below is a geometry-optimized AcHoAg structure, with properties calculated at the GGA-PBE level.

Geometry as POSCAR:
```
AcHoAg
1.0
0.0000 3.7109 3.7109
3.7109 0.0000 3.7109
3.7109 3.7109 0.0000
Ac Ag Ho
1 1 1
Direct
0.2500 0.2500 0.2500
0.0000 0.0000 0.0000
0.7500 0.7500 0.7500
```

## Properties
Energy relative to the lowest polymorph listed for this composition = 0 meV per atom
Energy of formation from the pure elements = 0.0741 eV per atom
Theoretical density = 8.120 g cm⁻³



Below is a geometry-optimized CsReAgS3 structure, with properties calculated at the GGA-PBE level.

Geometry as POSCAR:
```
CsReAgS3
1.0
-3.5607 7.2235 2.5668
-1.9271 0.1916 -3.2127
-5.1759 -8.1035 2.6214
S Re Cs Ag
6 2 2 2
Direct
0.3454 0.7500 0.6229
0.6546 0.2500 0.3771
0.7707 0.7500 0.0900
0.2293 0.2500 0.9100
0.9813 0.7500 0.6091
0.0187 0.2500 0.3909
0.1771 0.2500 0.6601
0.8229 0.7500 0.3399
0.7522 0.2500 0.7628
0.2478 0.7500 0.2372
0.4447 0.7500 0.8882
0.5553 0.2500 0.1118
```

## Properties
Energy relative to the lowest polymorph listed for this composition = 0 meV per atom
Theoretical density = 5.988 g cm⁻³